#one
CsRbAg3: optimized geometry, PBE-GGA.

## Properties
* Fermi-level density of states: 5.22 states/eV/cell

a = 6.507 Å, b = 6.507 Å, c = 6.507 Å
α = 90.00°, β = 90.00°, γ = 90.00°
Positions (direct):
Cs 0.500 0.500 0.500
Rb 0.000 0.000 0.000
Ag 0.000 0.500 0.000
Ag 0.000 0.000 0.500
Ag 0.500 0.000 0.000



#two
CsRbAg3: optimized geometry, PBE-GGA.

## Properties
* Fermi-level density of states: 8.96 states/eV/cell

a = 5.614 Å, b = 12.018 Å, c = 11.461 Å
α = 90.00°, β = 90.00°, γ = 90.00°
Positions (direct):
Cs 0.501 0.250 0.430
Cs 0.999 0.750 0.930
Cs 0.499 0.750 0.570
Cs 0.001 0.250 0.070
Rb 0.000 0.000 0.500
Rb 0.500 0.500 0.000
Rb 0.500 0.000 0.000
Rb 0.000 0.500 0.500
Ag 0.004 0.045 0.785
Ag 0.496 0.545 0.285
Ag 0.496 0.955 0.285
Ag 0.996 0.545 0.215
Ag 0.996 0.955 0.215
Ag 0.504 0.455 0.715
Ag 0.504 0.045 0.715
Ag 0.004 0.455 0.785
Ag 0.254 0.250 0.751
Ag 0.246 0.750 0.251
Ag 0.746 0.750 0.249
Ag 0.754 0.250 0.749



Energy relative to the most stable one, in meV per atom: #one 503; #two 0